VASP calculation (GGA-PBE) on a geometry-optimized Li2GaSi structure.

Unit cell a=2.9986 b=2.9986 c=6.4909 alpha=90.00 beta=90.00 gamma=90.00
Last column: nearest neighbours and their distance in Å.
Element x y z (fractional)
Ga  0.5000  0.5000  0.0000  8 Li 2.70, 4 Ga 3.00
Li  0.0000  0.0000  0.7422  4 Si 2.64, 4 Ga 2.70
Li  0.0000  0.0000  0.2578  4 Si 2.64, 4 Ga 2.70
Si  0.5000  0.5000  0.5000  8 Li 2.64

Its space-group type is P4/mmm, No. 123. The magnetic moment comes out at 0.0 μB/cell. The value obtained for the density of states at the Fermi level is 0.1936 states/eV per atom. The value obtained for the energy above the most stable polymorph in this dataset is 53 meV per atom.